Here is Li2HgPb after structural relaxation from the Alexandria database. Energies are from PBE-GGA.

a b c (Å): 4.396 4.396 8.846
angles (deg): 90.00 90.00 90.00
Space group I-4m2 (No. 119)
Inequivalent atoms, fractional coordinates:
Li 0.000 0.000 0.000 (multiplicity 2)
Li 0.000 0.500 0.250 (multiplicity 2)
Hg 0.000 0.000 0.500 (multiplicity 2)
Pb 0.000 0.500 0.750 (multiplicity 2)

Values from the calculation:
ΔE_f = -0.245 eV/atom
E_tot = -2.204 eV/atom
Fermi-level density of states = 0.3904 states/eV/atom
Crystal system = tetragonal
Total moment = 0.00 μB/f.u.